Record 1
A plane-wave DFT calculation with PBE was carried out for an optimized crystal structure of Cd3Te.

abc: 4.1273 4.1273 6.0878
angles: 90.00 90.00 90.00
Sites, in units of the cell vectors:
Cd1 0.0000 0.0000 0.0000
Cd2 0.5000 0.5000 0.2418
Cd3 0.5000 0.5000 0.7582
Te1 0.0000 0.0000 0.5000

Values from the calculation:
Uncorrected energy = -1.452 eV per atom
Total magnetic moment = 0.0000 μB/atom
Formation energy from raw total energies = 0.0200 eV/atom
Energy relative to the lowest polymorph listed for this composition = 0.48 eV/f.u.
Density of states at the Fermi level = 2.17 states/eV/cell

Record 2
A plane-wave DFT calculation with PBE was carried out for an optimized crystal structure of Cd3Te.

abc: 6.2653 6.2653 6.2653
angles: 90.00 90.00 90.00
Sites, in units of the cell vectors:
Cd1 0.0000 0.0000 0.5000
Cd2 0.0000 0.5000 0.0000
Cd3 0.5000 0.0000 0.0000
Te1 0.0000 0.0000 0.0000

Values from the calculation:
Uncorrected energy = -1.028 eV per atom
Total magnetic moment = 0.0000 μB/atom
Formation energy from raw total energies = 0.4436 eV/atom
Energy relative to the lowest polymorph listed for this composition = 2.18 eV/f.u.
Density of states at the Fermi level = 5.80 states/eV/cell

Record 3
A plane-wave DFT calculation with PBE was carried out for an optimized crystal structure of Cd3Te.

abc: 7.0291 7.0291 7.0291
angles: 145.20 145.20 50.03
Sites, in units of the cell vectors:
Cd1 0.0000 0.0000 0.0000
Cd2 0.2500 0.7500 0.5000
Cd3 0.7500 0.2500 0.5000
Te1 0.5000 0.5000 0.0000

Values from the calculation:
Uncorrected energy = -1.467 eV per atom
Total magnetic moment = 0.0000 μB/atom
Formation energy from raw total energies = 0.0046 eV/atom
Energy relative to the lowest polymorph listed for this composition = 0.42 eV/f.u.
Density of states at the Fermi level = 1.21 states/eV/cell